## Nd2HgCl (PBE)

Data for a relaxed structure of Nd2HgCl.

Cell and atoms, written as extended XYZ:
```
4
Lattice="3.504 0.000 0.000 0.000 3.504 0.000 0.000 0.000 8.456" Properties=species:S:1:pos:R:3 pbc="T T T"
Cl 1.752 1.752 0.000
Nd 0.000 0.000 2.112
Nd 0.000 0.000 6.344
Hg 1.752 1.752 4.228
```

Computed properties:
The calculation puts the density of states at the Fermi level at 3.18 states/eV/cell. For the size of the total moment, the calculation gives 0.000 μB/atom. As for the total energy: -3.751 eV/atom.

## Ca2SmMgSe4 (PBE)

Data for a relaxed structure of Ca2SmMgSe4.

Cell and atoms, written as extended XYZ:
```
8
Lattice="4.108 0.000 0.000 0.000 7.208 0.131 0.000 -2.516 6.704" Properties=species:S:1:pos:R:3 pbc="T T T"
Se 0.000 4.845 1.745
Se 2.054 1.100 1.602
Se 0.000 -0.154 5.090
Se 2.054 3.592 5.234
Ca 2.054 -1.258 3.352
Ca 0.000 2.346 3.418
Mg 0.000 0.000 0.000
Sm 2.054 3.604 0.066
```

Computed properties:
The calculation puts the density of states at the Fermi level at 2.66 states/eV/cell. For the size of the total moment, the calculation gives 0.000 μB/atom. As for the total energy: -4.753 eV/atom.

## ScFeSe (PBE)

Data for a relaxed structure of ScFeSe.

Cell and atoms, written as extended XYZ:
```
3
Lattice="4.418 0.000 0.000 2.209 3.826 0.000 2.209 1.275 3.608" Properties=species:S:1:pos:R:3 pbc="T T T"
Sc 6.627 3.826 2.706
Se 0.000 0.000 0.000
Fe 4.418 2.551 1.804
```

Computed properties:
The calculation puts the density of states at the Fermi level at 5.81 states/eV/cell. For the size of the total moment, the calculation gives 0.734 μB/atom. As for the total energy: -6.133 eV/atom.

## Na3PdCl4 (PBE)

Data for a relaxed structure of Na3PdCl4.

Cell and atoms, written as extended XYZ:
```
16
Lattice="-3.621 -3.754 0.939 5.297 -5.586 -1.906 2.903 -0.452 9.392" Properties=species:S:1:pos:R:3 pbc="T T T"
Cl 3.830 -6.374 6.173
Cl 2.053 -2.019 1.776
Cl -0.599 -3.643 0.010
Cl 0.221 -3.203 4.933
Cl 4.250 -4.970 -1.553
Cl 5.070 -4.530 3.370
Cl 2.418 -6.154 1.603
Cl 3.544 -2.251 6.599
Na 2.832 -7.259 -1.225
Na 3.862 -3.981 0.900
Na 0.610 -4.191 2.480
Na 1.640 -0.912 4.604
Na 5.478 -4.233 6.128
Na 1.897 -4.391 6.643
Pd 3.206 -6.352 3.859
Pd 1.264 -1.822 -0.479
```

Computed properties:
The calculation puts the density of states at the Fermi level at 2.61 states/eV/cell. For the size of the total moment, the calculation gives 0.000 μB/atom. As for the total energy: -3.381 eV/atom.

## Mg2SbPb (PBE)

Data for a relaxed structure of Mg2SbPb.

Cell and atoms, written as extended XYZ:
```
4
Lattice="5.612 -0.039 0.025 1.423 5.428 -0.025 -3.098 -3.242 3.374" Properties=species:S:1:pos:R:3 pbc="T T T"
Sb 3.016 -0.293 1.699
Pb 0.921 2.440 1.675
Mg 6.973 5.343 0.000
Mg 3.579 2.742 0.000
```

Computed properties:
The calculation puts the density of states at the Fermi level at 1.71 states/eV/cell. For the size of the total moment, the calculation gives 0.000 μB/atom. As for the total energy: -2.846 eV/atom.

## LiPRu (PBE)

Data for a relaxed structure of LiPRu.

Cell and atoms, written as extended XYZ:
```
12
Lattice="-0.623 6.116 1.276 -1.343 -0.728 2.835 7.288 -0.580 3.303" Properties=species:S:1:pos:R:3 pbc="T T T"
Ru 4.958 3.141 4.984
Ru -0.303 1.842 2.159
Ru 1.985 3.795 1.915
Ru 4.012 1.916 2.393
P -0.162 4.032 0.959
P 2.810 3.378 4.028
P 1.872 1.546 1.284
P 4.845 0.892 4.353
Li 4.204 5.279 3.347
Li -0.112 5.204 3.113
Li 6.837 -0.226 3.180
Li 2.522 -0.300 2.946
```

Computed properties:
The calculation puts the density of states at the Fermi level at 5.11 states/eV/cell. The formation energy is -0.4950 eV per atom. For the size of the total moment, the calculation gives 0.000 μB/atom. As for the total energy: -6.028 eV/atom.